# Sr2LiInP (PBE, optimized geometry)
# formation enthalpy at 0 K = 43 meV per atom
# total moment = 0.00 μB/f.u.
# space-group type = P4/mmm (123)
# polymorph energy (0 for the lowest one) = 12.35 kcal/mol of atoms
data_Sr2LiInP
_cell_length_a 5.658
_cell_length_b 4.775
_cell_length_c 5.658
_cell_angle_alpha 90.00
_cell_angle_beta 90.00
_cell_angle_gamma 90.00
_symmetry_space_group_name_H-M 'P 1'
_symmetry_Int_Tables_number 1
_symmetry_space_group_name_Hall 'P 1'
loop_
_atom_site_label
_atom_site_fract_x
_atom_site_fract_y
_atom_site_fract_z
Sr1 0.500 0.000 0.000
Sr2 0.000 0.000 0.500
P1 0.500 0.500 0.500
Li1 0.000 0.000 0.000
In1 0.000 0.500 0.000